Computed, not measured: crystalline Pu3PaN6 at its relaxed geometry at the PBE level of DFT.

abc: 6.7714 6.7714 6.7714
angles: 91.05 91.05 91.05
Last column: nearest neighbours and their distance in Å.
Fractional positions:
Pu 0.0519 0.7505 0.5572  6 N 2.25-2.41
Pu 0.2495 0.4428 0.9481  6 N 2.25-2.41
Pu 0.4428 0.9481 0.2495  6 N 2.25-2.41
Pu 0.5572 0.0519 0.7505  6 N 2.25-2.41
Pu 0.7505 0.5572 0.0519  6 N 2.25-2.41
Pu 0.9481 0.2495 0.4428  6 N 2.25-2.41
Pa 0.0000 0.0000 0.0000  6 N 2.27
Pa 0.5000 0.5000 0.5000  6 N 2.28
N 0.0274 0.6807 0.8983  3 Pu 2.25-2.37, 1 Pa 2.27
N 0.1017 0.9726 0.3193  3 Pu 2.25-2.37, 1 Pa 2.27
N 0.1833 0.4448 0.5967  3 Pu 2.28-2.41, 1 Pa 2.28
N 0.3193 0.1017 0.9726  3 Pu 2.25-2.37, 1 Pa 2.27
N 0.4033 0.8167 0.5552  3 Pu 2.28-2.41, 1 Pa 2.28
N 0.4448 0.5967 0.1833  3 Pu 2.28-2.41, 1 Pa 2.28
N 0.5552 0.4033 0.8167  3 Pu 2.28-2.41, 1 Pa 2.28
N 0.5967 0.1833 0.4448  3 Pu 2.28-2.41, 1 Pa 2.28
N 0.6807 0.8983 0.0274  3 Pu 2.25-2.37, 1 Pa 2.27
N 0.8167 0.5552 0.4033  3 Pu 2.28-2.41, 1 Pa 2.28
N 0.8983 0.0274 0.6807  3 Pu 2.25-2.37, 1 Pa 2.27
N 0.9726 0.3193 0.1017  3 Pu 2.25-2.37, 1 Pa 2.27

Values from the calculation:
As for the density: 11.21 g cm⁻³. Its uncorrected formation energy is -1.208 eV/atom. As for the density of states at the Fermi level: 1.81 states/eV per atom. The value obtained for the uncorrected energy is -11.452 eV/atom. The symmetry is R-3, No. 148. For the spin magnetization, the calculation gives 22.00 μB/cell.